Record 1
DFT (GGA-PBE) results for crystalline LaThVN3 at its relaxed geometry.

The calculation puts the uncorrected formation energy at -715 kJ/mol of formula units.

Cell: 7.6201 3.5779 7.6365 Å, 90.00 96.61 90.00°
With the nearest neighbours (Å) after each atom.
Space group P2_1/m (No. 11)
Symmetry-distinct sites (fractional):
La 0.1677 0.2500 0.1622 [2 per cell]  3 N 2.47-2.61
Th 0.1807 0.2500 0.6326 [2 per cell]  5 N 2.35-2.58
V 0.4097 0.7500 0.9110 [2 per cell]  4 N 1.90-1.96
N 0.1294 0.7500 0.4031 [2 per cell]  3 Th 2.35-2.50, 2 La 2.61
N 0.1592 0.7500 0.8727 [2 per cell]  1 V 1.90
N 0.4845 0.2500 0.8463 [2 per cell]  3 V 1.93-1.96

Record 2
DFT (GGA-PBE) results for crystalline NpHgH2O6 at its relaxed geometry.

For the total DFT energy (no corrections), the calculation gives -62.41 eV per formula unit.

Cell: 8.8202 9.6823 5.9058 Å, 90.00 94.38 90.00°
With the nearest neighbours (Å) after each atom.
Space group C2/c (No. 15)
Symmetry-distinct sites (fractional):
Np 0.0000 0.1521 0.2500 [4 per cell]  2 O 1.80
Hg 0.0000 0.3826 0.7500 [4 per cell]  2 O 2.08
H 0.2236 0.1057 0.6002 [8 per cell]  1 O 1.00
O 0.0721 0.3603 0.4248 [8 per cell]  1 H 1.85
O 0.1109 0.0965 0.5794 [8 per cell]  1 H 1.00
O 0.1866 0.1628 0.1478 [8 per cell]  1 Np 1.80

Record 3
DFT (GGA-PBE) results for crystalline KLiFe2 at its relaxed geometry.

The value obtained for the excess energy over the best structure of this formula in the dataset is 497.0 meV per atom. As for the energy relative to the elements: 1.0403 eV per atom.

Cell: 3.7369 3.7369 5.2738 Å, 90.00 90.00 90.00°
With the nearest neighbours (Å) after each atom.
Space group P4/mmm (No. 123)
Symmetry-distinct sites (fractional):
K 0.0000 0.0000 0.0000 [1 per cell]  4 Li 2.64
Li 0.5000 0.5000 0.0000 [1 per cell]  4 K 2.64
Fe 0.0000 0.5000 0.5000 [2 per cell]  4 Fe 2.64